(1)
VMo2W3: relaxed, GGA-PBE.

Cell lengths 2.6946, 8.1412, 13.0125 Å; angles 46.58, 112.82, 109.12 degrees
With the nearest neighbours (Å) after each atom.
Sites, in units of the cell vectors:
Mo1 0.6166 0.3725 0.3735  2 Mo 2.69, 2 V 2.71-2.72, 4 W 2.74-2.86
Mo2 0.3834 0.6275 0.6265  2 Mo 2.69, 2 V 2.71-2.72, 4 W 2.74-2.86
Mo3 0.8857 0.1205 0.1316  5 W 2.69-2.82, 2 Mo 2.69, 1 V 2.86
Mo4 0.1143 0.8795 0.8684  5 W 2.69-2.82, 2 Mo 2.69, 1 V 2.86
W1 0.6508 0.7081 0.3811  1 V 2.66, 4 W 2.69-2.76, 3 Mo 2.73-2.77
W2 0.4738 0.5397 0.8776  3 Mo 2.69-2.82, 4 W 2.69-2.73, 1 V 2.73
W3 0.1716 0.7946 0.1201  5 W 2.69-2.76, 3 Mo 2.78-2.86
W4 0.8284 0.2054 0.8799  5 W 2.69-2.76, 3 Mo 2.78-2.86
W5 0.3492 0.2919 0.6189  1 V 2.66, 4 W 2.69-2.76, 3 Mo 2.73-2.77
W6 0.5262 0.4603 0.1224  3 Mo 2.69-2.82, 4 W 2.69-2.73, 1 V 2.73
V1 0.6713 0.0325 0.3850  3 V 2.59-2.69, 2 W 2.66-2.73, 3 Mo 2.71-2.86
V2 0.3287 0.9675 0.6150  3 V 2.59-2.69, 2 W 2.66-2.73, 3 Mo 2.71-2.86

Output
Formation enthalpy at 0 K in eV/atom: 0.1255
D(E_F) in states/eV/f.u.: 4.654



(2)
VMo2W5: relaxed, GGA-PBE.

Cell lengths 6.3151, 6.3151, 5.4872 Å; angles 125.35, 125.35, 89.83 degrees
With the nearest neighbours (Å) after each atom.
Sites, in units of the cell vectors:
V1 0.2221 0.2221 0.4442  8 W 2.73-2.74
W1 0.7221 0.7221 0.9442  4 Mo 2.73, 2 V 2.73, 2 W 2.74
W2 0.7221 0.7221 0.4442  8 W 2.73-2.74
W3 0.2221 0.7221 0.9442  2 V 2.73, 2 W 2.73, 4 Mo 2.73-2.74
W4 0.2221 0.2221 0.9443  4 Mo 2.73, 2 W 2.73, 2 V 2.74
W5 0.7221 0.2221 0.9442  2 V 2.73, 2 W 2.73, 4 Mo 2.73-2.74
Mo1 0.7221 0.2221 0.4443  8 W 2.73-2.74
Mo2 0.2221 0.7221 0.4443  8 W 2.73-2.74

Output
Formation enthalpy at 0 K in eV/atom: -0.0588
D(E_F) in states/eV/f.u.: 2.553



(3)
V7Mo2W3: relaxed, GGA-PBE.

Cell lengths 2.9853, 4.5161, 13.2794 Å; angles 90.21, 90.00, 90.00 degrees
With the nearest neighbours (Å) after each atom.
Sites, in units of the cell vectors:
V1 0.5000 0.0024 0.1602  6 V 2.60-2.71, 2 W 2.68
V2 0.5000 0.9976 0.8398  6 V 2.60-2.71, 2 W 2.68
V3 0.0000 0.4969 0.8400  2 Mo 2.59, 2 W 2.60, 4 V 2.70-2.71
V4 0.0000 0.0000 0.0000  4 V 2.60, 4 W 2.71
V5 0.5000 0.2380 0.5026  2 V 2.15-2.37
V6 0.5000 0.7620 0.4974  2 V 2.15-2.37
V7 0.0000 0.5031 0.1600  2 Mo 2.59, 2 W 2.60, 4 V 2.70-2.71
Mo1 0.5000 0.4944 0.6805  4 V 2.59-2.72, 4 W 2.71
Mo2 0.5000 0.5056 0.3195  4 V 2.59-2.72, 4 W 2.71
W1 0.0000 0.9951 0.6720  6 V 2.68-2.95, 4 Mo 2.71, 2 W 2.99
W2 0.0000 0.0049 0.3280  6 V 2.68-2.95, 4 Mo 2.71, 2 W 2.99
W3 0.5000 0.5000 0.0000  8 V 2.60-2.71

Output
Formation enthalpy at 0 K in eV/atom: 0.1620
D(E_F) in states/eV/f.u.: 12.824



(4)
V4MoW: relaxed, GGA-PBE.

Cell lengths 4.1803, 4.1824, 5.9028 Å; angles 89.94, 89.97, 90.00 degrees
With the nearest neighbours (Å) after each atom.
Sites, in units of the cell vectors:
W1 0.5013 0.4973 0.9981  8 V 2.56
Mo1 0.0013 0.9973 0.4981  8 V 2.55-2.56
V1 0.5015 0.9975 0.7470  2 Mo 2.55-2.56, 2 W 2.56
V2 0.0012 0.4970 0.2493  2 Mo 2.55-2.56, 2 W 2.56
V3 0.0014 0.4976 0.7470  2 Mo 2.55-2.56, 2 W 2.56
V4 0.5011 0.9971 0.2493  2 Mo 2.55-2.56, 2 W 2.56

Output
Formation enthalpy at 0 K in eV/atom: 0.8120
D(E_F) in states/eV/f.u.: 8.853



(5)
V7Mo3W2: relaxed, GGA-PBE.

Cell lengths 4.2381, 4.3347, 10.4839 Å; angles 101.93, 90.00, 90.00 degrees
With the nearest neighbours (Å) after each atom.
Sites, in units of the cell vectors:
Mo1 0.5000 0.3483 0.6967  6 V 2.53-2.69
Mo2 0.5000 0.6517 0.3033  6 V 2.53-2.69
Mo3 0.5000 0.5000 0.0000  8 V 2.61-2.64
V1 0.0000 0.5743 0.1486  4 Mo 2.61-2.65, 2 W 2.63, 2 V 2.65
V2 0.0000 0.4257 0.8514  4 Mo 2.61-2.65, 2 W 2.63, 2 V 2.65
V3 0.0000 0.0000 0.0000  8 V 2.60-2.65
V4 0.0000 0.2806 0.5612  2 V 2.50, 2 Mo 2.53, 3 W 2.63-2.75
V5 0.5000 0.9263 0.8526  2 W 2.59, 2 V 2.60, 4 Mo 2.64-2.69
V6 0.0000 0.7194 0.4388  2 V 2.50, 2 Mo 2.53, 3 W 2.63-2.75
V7 0.5000 0.0737 0.1474  2 W 2.59, 2 V 2.60, 4 Mo 2.64-2.69
W1 0.0000 0.1466 0.2932  7 V 2.59-2.75
W2 0.0000 0.8534 0.7068  7 V 2.59-2.75

Output
Formation enthalpy at 0 K in eV/atom: 0.3470
D(E_F) in states/eV/f.u.: 14.329



(6)
VMoW3: relaxed, GGA-PBE.

Cell lengths 5.2119, 8.6316, 7.0849 Å; angles 90.00, 87.05, 90.00 degrees
With the nearest neighbours (Å) after each atom.
Sites, in units of the cell vectors:
W1 0.2542 0.3360 0.7506  2 V 2.50-2.61, 2 W 2.72-2.79, 2 Mo 2.76-2.78
W2 0.7542 0.1640 0.2506  2 V 2.50-2.61, 2 W 2.72-2.79, 2 Mo 2.76-2.78
W3 0.2419 0.7414 0.1157  2 V 2.57-2.64, 2 Mo 2.57-2.80, 3 W 2.72-2.83
W4 0.7499 0.4113 0.5307  8 W 2.83-3.16, 3 Mo 2.98-3.12, 2 V 2.99-3.02
W5 0.2499 0.0887 0.0307  8 W 2.83-3.16, 3 Mo 2.98-3.12, 2 V 2.99-3.02
W6 0.2501 0.5887 0.4693  8 W 2.83-3.16, 3 Mo 2.98-3.12, 2 V 2.99-3.02
W7 0.7458 0.6640 0.2494  2 V 2.50-2.61, 2 W 2.72-2.79, 2 Mo 2.76-2.78
W8 0.7581 0.2586 0.8843  2 V 2.57-2.64, 2 Mo 2.57-2.80, 3 W 2.72-2.83
W9 0.2458 0.8360 0.7494  2 V 2.50-2.61, 2 W 2.72-2.79, 2 Mo 2.76-2.78
W10 0.7501 0.9113 0.9693  8 W 2.83-3.16, 3 Mo 2.98-3.12, 2 V 2.99-3.02
W11 0.2581 0.2414 0.3843  2 V 2.57-2.64, 2 Mo 2.57-2.80, 3 W 2.72-2.83
W12 0.7419 0.7586 0.6157  2 V 2.57-2.64, 2 Mo 2.57-2.80, 3 W 2.72-2.83
Mo1 0.0556 0.4172 0.1403  2 V 2.49-2.72, 1 Mo 2.54, 3 W 2.57-2.78
Mo2 0.9444 0.5828 0.8597  2 V 2.49-2.72, 1 Mo 2.54, 3 W 2.57-2.78
Mo3 0.5556 0.0828 0.6403  2 V 2.49-2.72, 1 Mo 2.54, 3 W 2.57-2.78
Mo4 0.4444 0.9172 0.3597  2 V 2.49-2.72, 1 Mo 2.54, 3 W 2.57-2.78
V1 0.5333 0.4195 0.1487  2 Mo 2.49-2.72, 4 W 2.50-2.64, 1 V 2.56
V2 0.4667 0.5805 0.8513  2 Mo 2.49-2.72, 4 W 2.50-2.64, 1 V 2.56
V3 0.9667 0.9195 0.3513  2 Mo 2.49-2.72, 4 W 2.50-2.64, 1 V 2.56
V4 0.0333 0.0805 0.6487  2 Mo 2.49-2.72, 4 W 2.50-2.64, 1 V 2.56

Output
Formation enthalpy at 0 K in eV/atom: 0.2397
D(E_F) in states/eV/f.u.: 4.644